Entry 1:
DFT (PBE) results for VZnH after structural relaxation.

Results
energy above the lowest structure with this stoichiometry	9	meV per atom
D(E_F)	1.324	states/eV/f.u.
calculated total energy	-4.623	eV/atom

Cell and atoms, written as CIF:
```
data_VZnH
_cell_length_a 2.858
_cell_length_b 4.008
_cell_length_c 5.370
_cell_angle_alpha 90.00
_cell_angle_beta 103.31
_cell_angle_gamma 90.00
_symmetry_space_group_name_H-M 'P 1'
_symmetry_Int_Tables_number 1
loop_
_symmetry_equiv_pos_as_xyz
'x,y,z'
loop_
_atom_site_label
_atom_site_type_symbol
_atom_site_fract_x
_atom_site_fract_y
_atom_site_fract_z
V1 V 0.146 0.250 0.362
V2 V 0.854 0.750 0.638
Zn1 Zn 0.432 0.250 0.880
Zn2 Zn 0.568 0.750 0.120
H1 H 0.248 0.750 0.425
H2 H 0.752 0.250 0.575
```

***

Entry 2:
DFT (PBE) results for SrSmIn after structural relaxation.

Results
energy above the lowest structure with this stoichiometry	72	meV per atom
D(E_F)	3.260	states/eV/f.u.
calculated total energy	-3.289	eV/atom

Cell and atoms, written as CIF:
```
data_SrSmIn
_cell_length_a 14.585
_cell_length_b 14.585
_cell_length_c 14.585
_cell_angle_alpha 164.56
_cell_angle_beta 164.56
_cell_angle_gamma 21.90
_symmetry_space_group_name_H-M 'P 1'
_symmetry_Int_Tables_number 1
loop_
_symmetry_equiv_pos_as_xyz
'x,y,z'
loop_
_atom_site_label
_atom_site_type_symbol
_atom_site_fract_x
_atom_site_fract_y
_atom_site_fract_z
Sr1 Sr 0.072 0.072 0.000
Sr2 Sr 0.928 0.928 0.000
Sm1 Sm 0.210 0.210 0.000
Sm2 Sm 0.790 0.790 0.000
In1 In 0.352 0.352 0.000
In2 In 0.648 0.648 0.000
```

***

Question: calculated total energy of number 2 (SrSmIn)?
Answer: -3.289 eV/atom